First-principles (PBE+U) data for a geometry-optimized FeP2O structure, as listed in Alexandria via LeMat-Bulk.

The structure in CIF format:
```
data_FeP2O
_space_group_name_H-M_alt 'P 1'
_space_group_IT_number 1
_space_group_name_Hall 'P 1'
_cell_length_a 2.6360
_cell_length_b 4.3555
_cell_length_c 5.3877
_cell_angle_alpha 74.51
_cell_angle_beta 89.47
_cell_angle_gamma 74.36
loop_
_atom_site_label
_atom_site_fract_x
_atom_site_fract_y
_atom_site_fract_z
Fe1 0.0000 0.0000 0.0000
P1 0.7420 0.4569 0.6298
P2 0.7444 0.4783 0.2148
O1 0.1264 0.7206 0.6395
```

Computed properties:
- final energy (Ha/atom) = -0.2055
- total magnetization (Bohr magnetons per cell) = 3.1